Computed, not measured: Ac6TlIr3 after structural relaxation at the GGA-PBE level of DFT. Values from VASP.

## Properties
Symmetry: P2_1/m, No. 11
Total moment: 0.0 μB/cell
Formation energy from the elements: -0.563 eV/atom

Structure (Quantum ESPRESSO input):
```
&SYSTEM
  ibrav = 0, nat = 20, ntyp = 3
/
ATOMIC_SPECIES
Ac 227.00 Ac.upf
Tl 204.38 Tl.upf
Ir 192.22 Ir.upf
CELL_PARAMETERS angstrom
12.734 0.000 0.000
0.000 4.407 0.000
-3.943 0.000 12.394
ATOMIC_POSITIONS angstrom
Ac -1.214 1.102 4.813
Ac -2.340 1.102 11.749
Ac 1.567 3.305 3.187
Ac 0.682 3.305 9.453
Ac 2.357 1.102 6.568
Ac 5.057 3.305 1.033
Ac 3.734 1.102 11.361
Ac 6.434 3.305 5.826
Ac 8.109 1.102 2.941
Ac 7.224 1.102 9.207
Ac 11.131 3.305 0.645
Ac 10.005 3.305 7.581
Tl 4.510 1.102 3.768
Tl 4.281 3.305 8.627
Ir -0.080 1.102 2.009
Ir 0.337 3.305 6.106
Ir 0.745 1.102 11.393
Ir 8.046 3.305 1.001
Ir 8.454 1.102 6.289
Ir 8.871 3.305 10.385
```

---

Computed, not measured: AcTlIr after structural relaxation at the GGA-PBE level of DFT. Values from VASP.

## Properties
Symmetry: I4/mmm, No. 139
Energy above the most stable polymorph in this dataset: 232.6 meV/atom
Total moment: 0.0 μB/cell
Formation energy from the elements: -0.226 eV/atom

Structure (Quantum ESPRESSO input):
```
&SYSTEM
  ibrav = 0, nat = 6, ntyp = 3
/
ATOMIC_SPECIES
Ac 227.00 Ac.upf
Tl 204.38 Tl.upf
Ir 192.22 Ir.upf
CELL_PARAMETERS angstrom
-2.124 2.124 11.649
2.124 -2.124 11.649
2.124 2.124 -11.649
ATOMIC_POSITIONS angstrom
Ac 0.000 0.000 4.322
Ac 0.000 0.000 18.975
Tl 0.000 0.000 10.118
Tl 0.000 0.000 13.179
Ir 0.000 0.000 7.442
Ir 0.000 0.000 15.855
```

---

Computed, not measured: Ac5Tl2Ir2 after structural relaxation at the GGA-PBE level of DFT. Values from VASP.

## Properties
Symmetry: Cmce, No. 64
Energy above the most stable polymorph in this dataset: 0.0 meV/atom
Total moment: 0.0 μB/cell
Formation energy from the elements: -0.467 eV/atom

Structure (Quantum ESPRESSO input):
```
&SYSTEM
  ibrav = 0, nat = 18, ntyp = 3
/
ATOMIC_SPECIES
Ac 227.00 Ac.upf
Tl 204.38 Tl.upf
Ir 192.22 Ir.upf
CELL_PARAMETERS angstrom
8.660 -4.021 0.000
8.660 4.021 0.000
0.000 0.000 8.647
ATOMIC_POSITIONS angstrom
Ac 0.000 0.000 0.000
Ac 6.651 2.736 5.784
Ac 6.651 1.285 1.460
Ac 10.669 2.736 5.784
Ac 10.669 1.285 1.460
Ac 8.660 0.000 4.323
Ac 6.651 -1.285 7.186
Ac 6.651 -2.736 2.863
Ac 10.669 -1.285 7.186
Ac 10.669 -2.736 2.863
Tl 3.750 0.000 0.000
Tl 4.911 0.000 4.323
Tl 12.410 0.000 4.323
Tl 13.571 0.000 0.000
Ir 8.660 2.907 3.184
Ir 8.660 1.114 7.507
Ir 8.660 -1.114 1.140
Ir 8.660 -2.907 5.463
```

---

Question: What is the total moment in the third record?
Answer: 0.0 μB/cell

---

Question: Which of these has the highest formation energy from the elements?
Answer: AcTlIr

---

Question: Which value of total moment does entry 1 give?
Answer: 0.0 μB/cell